Here is an optimized crystal structure of BeTeP2S from Alexandria via LeMat-Bulk. Energies are from PBE.

```
BeTeP2S
1.0
5.0663 0.0000 0.0000
0.0000 5.0663 0.0000
0.0000 0.0000 5.0131
P Te Be S
2 1 1 1
direct
0.0000 0.5000 0.0000
0.5000 0.0000 0.0000
0.0000 0.0000 0.0000
0.5000 0.5000 0.5000
0.0000 0.0000 0.5000
```

Summary:
E_form (uncorrected) = 1.548 eV per atom



Here is an optimized crystal structure of ZrMo3Ir from Alexandria via LeMat-Bulk. Energies are from PBE.

```
ZrMo3Ir
1.0
-0.8533 0.8480 -4.5884
-2.3292 -4.1192 -0.3282
-4.0432 2.1940 1.1574
Mo Ir Zr
3 1 1
direct
0.0000 0.5000 0.0000
0.5000 0.0000 0.0000
0.0000 0.0000 0.5000
0.0000 0.0000 0.0000
0.5000 0.5000 0.5000
```

Summary:
Formation energy from the elements = 1.2145 eV/atom



Here is an optimized crystal structure of SbAsWBr2 from Alexandria via LeMat-Bulk. Energies are from PBE.

```
SbAsWBr2
1.0
5.1067 0.0000 0.0000
0.0000 5.1067 0.0000
0.0000 0.0000 5.0453
Br Sb As W
2 1 1 1
direct
0.5000 0.0000 0.0000
0.0000 0.5000 0.0000
0.5000 0.5000 0.5000
0.0000 0.0000 0.5000
0.0000 0.0000 0.0000
```

Summary:
E_form (uncorrected) = 0.664 eV per atom



Per-record calculated volume, Å³ per atom: 25.73 21.35 26.32